[1]
The following is a DFT calculation (GGA-PBE) of a relaxed NpZn2Hg crystal.

Output
E, eV/atom: -3.78
E_form, eV/f.u.: 0.66
N(E_F), states/eV per cell: 6.4
V, Å³ per cell: 79.3
Energy relative to the lowest polymorph listed for this composition, eV per atom: 0.003

a b c (Å): 3.033 3.033 8.617
angles (deg): 90.00 90.00 90.00
Fractional coordinates of all 4 atoms:
Np 0.500 0.500 0.500
Zn 0.000 0.000 0.761
Hg 0.500 0.500 0.000
Zn 0.000 0.000 0.239

[2]
The following is a DFT calculation (GGA-PBE) of a relaxed CaAlH2Pt crystal.

Output
E, eV/atom: -3.70
N(E_F), states/eV per cell: 2.5
V, Å³ per cell: 76.9
Energy relative to the lowest polymorph listed for this composition, eV per atom: 0.247

a b c (Å): 4.027 4.740 4.027
angles (deg): 90.00 90.00 90.00
Fractional coordinates of all 5 atoms:
Pt 0.000 0.000 0.000
Al 0.000 0.500 0.000
H 0.500 0.000 0.000
H 0.000 0.000 0.500
Ca 0.500 0.500 0.500

[3]
The following is a DFT calculation (GGA-PBE) of a relaxed HoNp2Tl3Te6 crystal.

Output
E, eV/atom: -5.42
N(E_F), states/eV per cell: 19.4
V, Å³ per cell: 425.9
Energy relative to the elements, uncorrected, eV/atom: -0.716

a b c (Å): 7.750 7.750 8.584
angles (deg): 98.66 98.66 119.99
Fractional coordinates of all 12 atoms:
Tl 0.168 0.832 0.500
Te 0.401 0.071 0.214
Np 0.667 0.333 0.000
Np 0.333 0.667 0.000
Ho 0.000 0.000 0.000
Tl 0.832 0.168 0.500
Tl 0.500 0.500 0.500
Te 0.929 0.599 0.786
Te 0.599 0.929 0.786
Te 0.071 0.401 0.214
Te 0.258 0.258 0.786
Te 0.742 0.742 0.214

[4]
The following is a DFT calculation (GGA-PBE) of a relaxed HfMg3 crystal.

Output
E, eV/atom: -3.52
E_form, eV/f.u.: 0.66
N(E_F), states/eV per cell: 3.1
V, Å³ per cell: 89.2

a b c (Å): 2.995 5.083 5.858
angles (deg): 90.00 90.00 90.00
Fractional coordinates of all 4 atoms:
Hf 0.000 0.000 0.013
Mg 0.000 0.500 0.313
Mg 0.500 0.000 0.515
Mg 0.500 0.500 0.826

[5]
The following is a DFT calculation (GGA-PBE) of a relaxed Cd5Cu3 crystal.

Output
E, eV/atom: -2.04
E_form, eV/f.u.: 0.55
N(E_F), states/eV per cell: 4.7
V, Å³ per cell: 290.3
Energy relative to the lowest polymorph listed for this composition, eV per atom: 0.016

a b c (Å): 5.388 7.644 7.645
angles (deg): 93.44 106.23 73.78
Fractional coordinates of all 16 atoms:
Cd 0.453 0.877 0.693
Cu 0.423 0.472 0.155
Cd 0.048 0.693 0.877
Cd 0.214 0.838 0.289
Cd 0.287 0.289 0.838
Cd 0.751 0.526 0.527
Cd 0.714 0.711 0.163
Cu 0.251 0.990 0.991
Cu 0.750 0.010 0.011
Cd 0.548 0.123 0.308
Cd 0.953 0.308 0.123
Cd 0.250 0.474 0.473
Cu 0.078 0.155 0.472
Cu 0.578 0.528 0.846
Cu 0.923 0.845 0.529
Cd 0.787 0.162 0.712

[6]
The following is a DFT calculation (GGA-PBE) of a relaxed ZnInAgPd crystal.

Output
E, eV/atom: -3.25
E_form, eV/f.u.: -0.95
N(E_F), states/eV per cell: 1.9
V, Å³ per cell: 68.7

a b c (Å): 4.598 4.598 4.598
angles (deg): 60.00 60.00 60.00
Fractional coordinates of all 4 atoms:
In 0.000 0.000 0.000
Pd 0.750 0.750 0.750
Zn 0.500 0.500 0.500
Ag 0.250 0.250 0.250

[7]
The following is a DFT calculation (GGA-PBE) of a relaxed La2Hg crystal.

Output
E, eV/atom: -3.73
E_form, eV/f.u.: -1.04
N(E_F), states/eV per cell: 10.3
V, Å³ per cell: 384.4

a b c (Å): 7.131 5.424 9.939
angles (deg): 90.00 90.00 90.00
Fractional coordinates of all 12 atoms:
La 0.308 0.750 0.076
Hg 0.235 0.250 0.898
Hg 0.735 0.250 0.602
Hg 0.765 0.750 0.102
La 0.692 0.250 0.924
La 0.492 0.750 0.693
La 0.508 0.250 0.307
La 0.008 0.250 0.193
La 0.192 0.250 0.576
Hg 0.265 0.750 0.398
La 0.992 0.750 0.807
La 0.808 0.750 0.424

[8]
The following is a DFT calculation (GGA-PBE) of a relaxed Ho3TmAl crystal.

Output
E, eV/atom: -4.54
E_form, eV/f.u.: -0.74
N(E_F), states/eV per cell: 12.7
V, Å³ per cell: 280.1

a b c (Å): 3.565 8.340 13.482
angles (deg): 112.68 82.41 129.88
Fractional coordinates of all 10 atoms:
Ho 0.072 0.707 0.979
Ho 0.928 0.293 0.021
Ho 0.910 0.876 0.806
Ho 0.028 0.169 0.450
Ho 0.972 0.831 0.550
Tm 0.077 0.301 0.749
Tm 0.923 0.699 0.251
Al 0.968 0.520 0.624
Al 0.032 0.480 0.376
Ho 0.090 0.124 0.194

[9]
The following is a DFT calculation (GGA-PBE) of a relaxed YRhPb crystal.

Output
E, eV/atom: -6.48
E_form, eV/f.u.: -1.91
N(E_F), states/eV per cell: 8.4
V, Å³ per cell: 408.6

a b c (Å): 3.743 7.987 13.667
angles (deg): 90.00 90.00 90.00
Fractional coordinates of all 18 atoms:
Rh 0.500 0.927 0.598
Y 0.000 0.165 0.250
Y 0.000 0.835 0.750
Y 0.000 0.793 0.451
Y 0.000 0.207 0.549
Rh 0.500 0.073 0.402
Pb 0.500 0.432 0.114
Rh 0.000 0.562 0.250
Rh 0.000 0.438 0.750
Pb 0.500 0.432 0.386
Pb 0.500 0.177 0.750
Pb 0.500 0.823 0.250
Pb 0.500 0.568 0.614
Rh 0.500 0.073 0.098
Y 0.000 0.793 0.049
Pb 0.500 0.568 0.886
Y 0.000 0.207 0.951
Rh 0.500 0.927 0.902

[10]
The following is a DFT calculation (GGA-PBE) of a relaxed Sm2TlSn4 crystal.

Output
E, eV/atom: -4.38
E_form, eV/f.u.: -2.87
N(E_F), states/eV per cell: 3.8
V, Å³ per cell: 204.5

a b c (Å): 6.529 6.529 6.668
angles (deg): 119.52 119.52 89.59
Fractional coordinates of all 7 atoms:
Sn 0.786 0.786 0.071
Sn 0.786 0.286 0.071
Sm 0.286 0.786 0.571
Sm 0.786 0.286 0.571
Sn 0.286 0.786 0.071
Sn 0.286 0.286 0.071
Tl 0.786 0.786 0.572

[11]
The following is a DFT calculation (GGA-PBE) of a relaxed LiCa2Rh2 crystal.

Output
E, eV/atom: -4.36
E_form, eV/f.u.: -1.19
N(E_F), states/eV per cell: 7.6
V, Å³ per cell: 207.4
Energy relative to the lowest polymorph listed for this composition, eV per atom: 0.093

a b c (Å): 7.002 7.002 4.230
angles (deg): 90.00 90.00 90.00
Fractional coordinates of all 10 atoms:
Li 0.000 0.000 0.000
Rh 0.366 0.866 0.000
Ca 0.670 0.830 0.500
Li 0.500 0.500 0.000
Ca 0.830 0.330 0.500
Rh 0.134 0.366 0.000
Rh 0.866 0.634 0.000
Ca 0.330 0.170 0.500
Rh 0.634 0.134 0.000
Ca 0.170 0.670 0.500

[12]
The following is a DFT calculation (GGA-PBE) of a relaxed KBaOs2 crystal.

Output
E, eV/atom: -4.84
E_form, eV/f.u.: 6.11
N(E_F), states/eV per cell: 4.5
V, Å³ per cell: 88.8
Energy relative to the lowest polymorph listed for this composition, eV per atom: 1.080

a b c (Å): 6.084 6.053 3.007
angles (deg): 88.38 64.03 113.19
Fractional coordinates of all 4 atoms:
Os 0.500 0.000 0.500
Os 0.000 0.000 0.000
K 0.500 0.500 0.000
Ba 0.000 0.500 0.500